Entry from the Alexandria database: a relaxed LiCaAg3 crystal (PBE-GGA).

Cell lengths 8.965, 5.588, 8.487 Å; angles 90.00, 100.17, 90.00 degrees
Sites, in units of the cell vectors:
Li 0.057 0.160 0.340
Li 0.057 0.340 0.840
Li 0.943 0.660 0.160
Li 0.943 0.840 0.660
Ca 0.370 0.625 0.786
Ca 0.370 0.875 0.286
Ca 0.630 0.125 0.714
Ca 0.630 0.375 0.214
Ag 0.110 0.656 0.454
Ag 0.110 0.844 0.954
Ag 0.206 0.090 0.635
Ag 0.206 0.410 0.135
Ag 0.370 0.133 0.948
Ag 0.370 0.367 0.448
Ag 0.630 0.633 0.552
Ag 0.630 0.867 0.052
Ag 0.794 0.590 0.865
Ag 0.794 0.910 0.365
Ag 0.890 0.156 0.046
Ag 0.890 0.344 0.546

Calculated values
Theoretical density: 5.88 Mg/m³
Formation enthalpy at 0 K: -5.1 kcal/mol of atoms
Symmetry: P2_1/c (14)
Relative energy among the computed polymorphs: 0 meV/atom
Spin magnetization: 0.00 μB/f.u.